Here is crystalline Pm6PrSm2Tm at its relaxed geometry from Alexandria via LeMat-Bulk. Energies are from PBE.

## Properties
* crystal system: monoclinic
* N(E_F): 1.400 states/eV/atom
* uncorrected energy: -4.6061 eV per atom
* energy relative to the elements: 0.113 eV per atom
* SG: C2/c, No. 15

Lattice parameters (Å, degrees): 8.9587 8.9587 9.7556 93.88 93.88 117.80
Fractional coordinates of all 20 atoms:
Pm1 0.0126 0.5677 0.1878
Pm2 0.1219 0.7521 0.5551
Pm3 0.2479 0.8781 0.9449
Pm4 0.2928 0.5075 0.3816
Pm5 0.4323 0.9874 0.3122
Pm6 0.4925 0.7072 0.1184
Pm7 0.5075 0.2928 0.8816
Pm8 0.5677 0.0126 0.6878
Pm9 0.7072 0.4925 0.6184
Pm10 0.7521 0.1219 0.0551
Pm11 0.8781 0.2479 0.4449
Pm12 0.9874 0.4323 0.8122
Pr1 0.0222 0.9778 0.2500
Pr2 0.9778 0.0222 0.7500
Sm1 0.2007 0.3019 0.0449
Sm2 0.3019 0.2007 0.5449
Sm3 0.6981 0.7993 0.4551
Sm4 0.7993 0.6981 0.9551
Tm1 0.4099 0.5901 0.7500
Tm2 0.5901 0.4099 0.2500